# NaAcGaAs

An optimized crystal structure of NaAcGaAs (PBE, Alexandria).

The space group is F-43m (No. 216) and the conventional cell measures 7.522, 7.522 and 7.522 Å, with angles of 90.00, 90.00 and 90.00 degrees. Symmetry generates all atoms from Na at (0.000, 0.000, 0.000), Ac at (0.000, 0.000, 0.500), Ga at (0.250, 0.250, 0.250) and As at (0.250, 0.250, 0.750).

As for the calculated formation energy: -438 meV per atom.



# AcGaAs2O8

An optimized crystal structure of AcGaAs2O8 (PBE, Alexandria).

The space group is I-4m2 (No. 119) and the conventional cell measures 7.464, 7.464 and 6.233 Å, with angles of 90.00, 90.00 and 90.00 degrees. Symmetry generates all atoms from Ac at (0.000, 0.000, 0.000), Ga at (0.000, 0.500, 0.250), As at (0.000, 0.000, 0.500), As at (0.000, 0.500, 0.750), O at (0.000, 0.187, 0.336) and O at (0.000, 0.335, 0.947).

As for the energy relative to the elements, uncorrected: -1.65 eV per atom.



# AcGa2AsO8

An optimized crystal structure of AcGa2AsO8 (PBE, Alexandria).

The space group is R-3 (No. 148, hexagonal axes) and the conventional cell measures 5.0018, 5.0018 and 19.9105 Å, with angles of 90.00, 90.00 and 120.00 degrees. Symmetry generates all atoms from Ac at (0.0000, 0.0000, 0.0000), Ga at (0.0000, 0.0000, 0.2245), As at (0.0000, 0.0000, 0.5000), O at (0.0000, 0.0000, 0.3216) and O at (0.0126, 0.6350, 0.2192).

As for the energy relative to the elements, uncorrected: -1.58 eV per atom.



# AcGaAsO2

An optimized crystal structure of AcGaAsO2 (PBE, Alexandria).

The space group is Cmcm (No. 63) and the conventional cell measures 4.159, 12.088 and 6.943 Å, with angles of 90.00, 90.00 and 90.00 degrees. Symmetry generates all atoms from Ac at (0.000, 0.219, 0.250), Ga at (0.000, 0.500, 0.000), As at (0.000, 0.050, 0.750) and O at (0.000, 0.344, 0.542).

As for the energy relative to the elements, uncorrected: -1.81 eV per atom.